# 1
meta-GGA SCAN Tl2CdPb, single point on PBEsol structure; crystal system = orthorhombic; space-group type = Immm (71); size of the total moment = 0.00 μB per formula unit; theoretical density = 11.22 g/cm³; volume = 26.95 A^3/atom; energy relative to the elements = 53.2 meV per atom
1.0
3.589 0.000 0.000
0.000 5.543 0.000
-1.795 -2.771 5.418
Pb Cd Tl
1 1 2
Direct
0.000 0.500 0.000 Pb
0.500 0.000 0.000 Cd
0.765 0.765 0.530 Tl
0.235 0.235 0.470 Tl

***

# 2
meta-GGA SCAN Tl2CdPb, single point on PBEsol structure; crystal system = tetragonal; space-group type = P4mm (99); size of the total moment = 0.00 μB per formula unit; theoretical density = 11.22 g/cm³; volume = 26.95 A^3/atom; energy relative to the elements = 40.2 meV per atom
1.0
-0.618 1.007 -3.535
-1.898 -3.157 -0.568
-6.553 3.553 2.158
Tl Cd Pb
2 1 1
Direct
0.500 0.500 0.270 Tl
0.000 0.000 0.006 Tl
0.000 0.000 0.495 Cd
0.500 0.500 0.730 Pb

***

# 3
meta-GGA SCAN Tl2CdPb, single point on PBEsol structure; crystal system = orthorhombic; space-group type = Cmmm (65); size of the total moment = 0.00 μB per formula unit; theoretical density = 11.19 g/cm³; volume = 27.02 A^3/atom; energy relative to the elements = 58.8 meV per atom
1.0
-1.166 -1.278 2.811
-1.724 -0.885 -2.672
6.405 -8.638 -1.271
Pb Tl Cd
1 2 1
Direct
0.500 0.500 0.000 Pb
0.000 0.000 0.264 Tl
0.000 0.000 0.736 Tl
0.500 0.500 0.500 Cd

***

# 4
meta-GGA SCAN TlCd2Pb, single point on PBEsol structure; crystal system = orthorhombic; space-group type = Immm (71); size of the total moment = 0.00 μB per formula unit; theoretical density = 10.49 g/cm³; volume = 25.19 A^3/atom; energy relative to the elements = 83.3 meV per atom
1.0
4.700 0.000 0.000
0.000 4.889 0.000
-2.350 -2.445 4.385
Pb Tl Cd
1 1 2
Direct
0.500 0.000 0.000 Pb
0.000 0.500 0.000 Tl
0.750 0.750 0.499 Cd
0.250 0.250 0.501 Cd

***

# 5
meta-GGA SCAN TlCd2Pb, single point on PBEsol structure; crystal system = trigonal; space-group type = R3m (160); size of the total moment = 0.00 μB per formula unit; theoretical density = 10.49 g/cm³; volume = 25.19 A^3/atom; energy relative to the elements = 64.9 meV per atom
1.0
3.319 0.000 0.000
1.659 2.874 0.000
1.659 0.958 10.564
Pb Cd Tl
1 2 1
Direct
0.496 0.496 0.513 Pb
0.745 0.745 0.766 Cd
0.005 0.005 0.986 Cd
0.255 0.255 0.235 Tl

***

# 6
meta-GGA SCAN Tl2CdPb, single point on PBEsol structure; crystal system = tetragonal; space-group type = P4/mmm (123); size of the total moment = 0.00 μB per formula unit; theoretical density = 11.29 g/cm³; volume = 26.79 A^3/atom; energy relative to the elements = 57.7 meV per atom
1.0
3.738 0.000 0.000
0.000 3.738 0.000
0.000 0.000 7.668
Pb Tl Cd
1 2 1
Direct
0.500 0.500 0.500 Pb
0.000 0.000 0.228 Tl
0.000 0.000 0.772 Tl
0.500 0.500 0.000 Cd

***

# 7
meta-GGA SCAN Tl2CdPb, single point on PBEsol structure; crystal system = tetragonal; space-group type = I4/mmm (139); size of the total moment = 0.00 μB per formula unit; theoretical density = 11.25 g/cm³; volume = 26.87 A^3/atom; energy relative to the elements = 57.0 meV per atom
1.0
-3.356 0.373 3.226
3.221 -0.203 3.374
0.500 4.824 -3.417
Tl Pb Cd
2 1 1
Direct
0.250 0.750 0.500 Tl
0.750 0.250 0.500 Tl
0.000 0.000 0.000 Pb
0.500 0.500 0.000 Cd

***

# 8
meta-GGA SCAN Tl2CdPb, single point on PBEsol structure; crystal system = monoclinic; space-group type = Pm (6); size of the total moment = 0.00 μB per formula unit; theoretical density = 11.10 g/cm³; volume = 27.24 A^3/atom; energy relative to the elements = 39.2 meV per atom
1.0
-0.573 -0.651 3.239
5.105 0.100 0.923
-0.107 6.399 -0.105
Pb Cd Tl
1 1 2
Direct
0.422 0.500 0.760 Pb
0.326 0.000 0.477 Cd
0.726 0.500 0.284 Tl
0.025 0.000 0.979 Tl

***

# 9
meta-GGA SCAN TlCd2Pb, single point on PBEsol structure; crystal system = tetragonal; space-group type = P4/mmm (123); size of the total moment = 0.00 μB per formula unit; theoretical density = 10.39 g/cm³; volume = 25.43 A^3/atom; energy relative to the elements = 87.9 meV per atom
1.0
3.771 0.000 0.000
0.000 5.194 0.000
0.000 0.000 5.194
Cd Tl Pb
2 1 1
Direct
0.000 0.500 0.000 Cd
0.000 0.000 0.500 Cd
0.500 0.000 0.000 Tl
0.500 0.500 0.500 Pb

***

# 10
meta-GGA SCAN TlCd2Pb, single point on PBEsol structure; crystal system = tetragonal; space-group type = I-4m2 (119); size of the total moment = 0.00 μB per formula unit; theoretical density = 10.50 g/cm³; volume = 25.16 A^3/atom; energy relative to the elements = 86.9 meV per atom
1.0
-1.912 -4.115 -0.305
1.661 -0.459 -4.208
4.167 0.274 4.072
Cd Tl Pb
2 1 1
Direct
0.000 0.000 0.000 Cd
0.750 0.250 0.500 Cd
0.250 0.750 0.500 Tl
0.500 0.500 0.000 Pb

***

# 11
meta-GGA SCAN Tl2CdPb, single point on PBEsol structure; crystal system = trigonal; space-group type = R3m (160); size of the total moment = 0.00 μB per formula unit; theoretical density = 11.24 g/cm³; volume = 26.90 A^3/atom; energy relative to the elements = 41.5 meV per atom
1.0
3.412 0.000 0.000
1.706 2.955 0.000
1.706 0.985 10.670
Tl Pb Cd
2 1 1
Direct
0.755 0.755 0.736 Tl
0.001 0.001 0.998 Tl
0.245 0.245 0.264 Pb
0.499 0.499 0.502 Cd

***

# 12
meta-GGA SCAN Tl2CdPb, single point on PBEsol structure; crystal system = monoclinic; space-group type = P2/m (10); size of the total moment = 0.00 μB per formula unit; theoretical density = 11.15 g/cm³; volume = 27.11 A^3/atom; energy relative to the elements = 49.7 meV per atom
1.0
3.344 0.000 0.036
0.000 5.219 0.000
-1.598 0.000 6.196
Tl Pb Cd
2 1 1
Direct
0.326 0.000 0.240 Tl
0.674 0.000 0.760 Tl
0.000 0.500 0.500 Pb
0.500 0.500 0.000 Cd

***

# 13
meta-GGA SCAN Tl2CdPb, single point on PBEsol structure; crystal system = orthorhombic; space-group type = Pmmm (47); size of the total moment = 0.00 μB per formula unit; theoretical density = 11.19 g/cm³; volume = 27.02 A^3/atom; energy relative to the elements = 63.2 meV per atom
1.0
3.820 0.000 0.000
0.000 5.261 0.000
0.000 0.000 5.377
Tl Cd Pb
2 1 1
Direct
0.000 0.000 0.000 Tl
0.500 0.500 0.000 Tl
0.500 0.000 0.500 Cd
0.000 0.500 0.500 Pb

***

# 14
meta-GGA SCAN TlCd2Pb, single point on PBEsol structure; crystal system = orthorhombic; space-group type = Imm2 (44); size of the total moment = 0.00 μB per formula unit; theoretical density = 10.38 g/cm³; volume = 25.44 A^3/atom; energy relative to the elements = 82.0 meV per atom
1.0
3.773 0.000 0.000
0.000 5.175 0.000
-1.886 -2.588 5.212
Cd Pb Tl
2 1 1
Direct
0.013 0.013 0.026 Cd
0.737 0.237 0.473 Cd
0.490 0.490 0.980 Pb
0.261 0.761 0.521 Tl

***

# 15
meta-GGA SCAN TlCd2Pb, single point on PBEsol structure; crystal system = orthorhombic; space-group type = Pmm2 (25); size of the total moment = 0.00 μB per formula unit; theoretical density = 10.52 g/cm³; volume = 25.12 A^3/atom; energy relative to the elements = 75.3 meV per atom
1.0
-2.423 -0.946 -2.083
-2.734 -0.606 3.455
-2.073 6.435 -0.512
Tl Pb Cd
1 1 2
Direct
0.500 0.500 0.767 Tl
0.000 0.000 0.488 Pb
0.000 0.000 0.015 Cd
0.500 0.500 0.231 Cd

***

# 16
meta-GGA SCAN TlCd2Pb, single point on PBEsol structure; crystal system = orthorhombic; space-group type = Pmmm (47); size of the total moment = 0.00 μB per formula unit; theoretical density = 10.33 g/cm³; volume = 25.58 A^3/atom; energy relative to the elements = 110.0 meV per atom
1.0
3.528 0.000 0.000
0.000 5.352 0.000
0.000 0.000 5.419
Cd Pb Tl
2 1 1
Direct
0.000 0.000 0.000 Cd
0.500 0.000 0.500 Cd
0.500 0.500 0.000 Pb
0.000 0.500 0.500 Tl

***

# 17
meta-GGA SCAN TlCd2Pb, single point on PBEsol structure; crystal system = trigonal; space-group type = R-3m (166); size of the total moment = 0.00 μB per formula unit; theoretical density = 10.46 g/cm³; volume = 25.26 A^3/atom; energy relative to the elements = 92.9 meV per atom
1.0
3.300 0.000 0.000
1.650 2.858 0.000
1.650 0.953 10.715
Tl Cd Pb
1 2 1
Direct
0.000 0.000 0.000 Tl
0.251 0.251 0.246 Cd
0.749 0.749 0.754 Cd
0.500 0.500 0.500 Pb

***

# 18
meta-GGA SCAN CdPbW2, single point on PBEsol structure; crystal system = trigonal; space-group type = R3m (160); size of the total moment = 0.00 μB per formula unit; theoretical density = 13.91 g/cm³; ΔE to the lowest computed polymorph = 0.00 eV per formula unit; volume = 20.51 A^3/atom; energy relative to the elements = 548.7 meV per atom
1.0
-1.656 -2.477 -1.043
0.991 -1.609 -2.529
4.828 -7.114 4.447
Cd Pb W
1 1 2
Direct
0.491 0.491 0.528 Cd
0.256 0.256 0.232 Pb
0.013 0.013 0.960 W
0.740 0.740 0.779 W

***

# 19
meta-GGA SCAN CdPbW2, single point on PBEsol structure; crystal system = orthorhombic; space-group type = Cmmm (65); size of the total moment = 0.00 μB per formula unit; theoretical density = 15.45 g/cm³; ΔE to the lowest computed polymorph = 2.61 eV per formula unit; volume = 18.47 A^3/atom; energy relative to the elements = 1202.4 meV per atom
1.0
2.841 0.000 0.000
0.000 5.388 0.023
0.000 -2.415 4.817
Cd Pb W
1 1 2
Direct
0.500 0.000 0.000 Cd
0.500 0.500 0.500 Pb
0.000 0.500 0.000 W
0.000 0.000 0.500 W

***

# 20
meta-GGA SCAN CdPbW3, single point on PBEsol structure; crystal system = cubic; space-group type = Pm-3m (221); size of the total moment = 0.00 μB per formula unit; theoretical density = 11.95 g/cm³; volume = 24.20 A^3/atom; energy relative to the elements = 3251.3 meV per atom
1.0
4.946 0.000 0.000
0.000 4.946 0.000
0.000 0.000 4.946
Cd W Pb
1 3 1
Direct
0.500 0.500 0.500 Cd
0.500 0.000 0.000 W
0.000 0.500 0.000 W
0.000 0.000 0.500 W
0.000 0.000 0.000 Pb